Entry 1:
The following is a GGA-PBE calculation of an optimized crystal structure of PmTmMgTc, from Alexandria.

Values from the calculation:
As for the total magnetization: 0.00 Bohr magnetons per cell. The value obtained for the density of states at the Fermi level is 2.30 states/eV/cell. For the formation energy, the calculation gives 8 kJ/mol of formula units.

a = 5.0621 Å, b = 5.0621 Å, c = 5.0621 Å
α = 60.00°, β = 60.00°, γ = 60.00°
With the nearest neighbours (Å) after each atom.
Fractional positions:
Mg 0.0000 0.0000 0.0000  4 Pm 3.10, 4 Tm 3.10
Tm 0.7500 0.7500 0.7500  4 Tc 3.10, 4 Mg 3.10
Tc 0.5000 0.5000 0.5000  4 Tm 3.10, 4 Pm 3.10
Pm 0.2500 0.2500 0.2500  4 Tc 3.10, 4 Mg 3.10

---

Entry 2:
The following is a GGA-PBE calculation of an optimized crystal structure of V2RePtN, from Alexandria.

Values from the calculation:
As for the total magnetization: 0.02 Bohr magnetons per cell. The value obtained for the density of states at the Fermi level is 4.68 states/eV/cell. As for the uncorrected formation energy: -2.553 eV per formula unit.

a = 3.9773 Å, b = 3.9773 Å, c = 3.9896 Å
α = 90.00°, β = 90.00°, γ = 90.00°
With the nearest neighbours (Å) after each atom.
Fractional positions:
Re 0.0000 0.0000 0.5000  2 N 1.99
N 0.0000 0.0000 0.0000  4 V 1.99, 2 Re 1.99
Pt 0.5000 0.5000 0.5000  4 Re 2.81, 8 V 2.82
V 0.0000 0.5000 0.0000  2 N 1.99
V 0.5000 0.0000 0.0000  2 N 1.99

---

Entry 3:
The following is a GGA-PBE calculation of an optimized crystal structure of SbP2SCl, from Alexandria.

Values from the calculation:
As for the total magnetization: 0.00 Bohr magnetons per cell. The energy above the most stable polymorph in this dataset is 0 meV/atom. The value obtained for the density of states at the Fermi level is 3.22 states/eV/cell. As for the uncorrected formation energy: 3.365 eV per formula unit.

a = 4.7334 Å, b = 4.7334 Å, c = 4.5401 Å
α = 90.00°, β = 90.00°, γ = 90.00°
With the nearest neighbours (Å) after each atom.
Fractional positions:
Sb 0.5000 0.5000 0.5000  8 P 3.28, 4 Cl 3.35
S 0.0000 0.0000 0.0000  2 Cl 2.27, 4 P 2.37
P 0.0000 0.5000 0.0000  2 S 2.37
P 0.5000 0.0000 0.0000  2 S 2.37
Cl 0.0000 0.0000 0.5000  2 S 2.27